[1]
{
  "formula": "V2HRh",
  "functional": "PBE",
  "state": "relaxed",
  "cell": [[0.000, 2.899, 2.899], [2.899, 0.000, 2.899], [2.899, 2.899, 0.000]],
  "species": ["V", "V", "H", "Rh"],
  "fractional_positions": [[0.250, 0.250, 0.250], [0.750, 0.750, 0.750], [0.000, 0.000, 0.000], [0.500, 0.500, 0.500]],
  "e_above_lowest_polymorph_mev_per_atom": 597,
  "m_tot_mub_per_atom": 0.1722,
  "spacegroup": "No. 225"
}

=====

[2]
{
  "formula": "BaTaMn2",
  "functional": "PBE",
  "state": "relaxed",
  "cell": [[0.000, 3.305, 3.305], [3.305, 0.000, 3.305], [3.305, 3.305, 0.000]],
  "species": ["Ba", "Ta", "Mn", "Mn"],
  "fractional_positions": [[0.000, 0.000, 0.000], [0.500, 0.500, 0.500], [0.250, 0.250, 0.250], [0.750, 0.750, 0.750]],
  "delta_e_f_ev_per_atom": 1.258,
  "e_above_lowest_polymorph_mev_per_atom": 693,
  "m_tot_mub_per_atom": 0.0000,
  "spacegroup": "No. 225"
}

=====

[3]
{
  "formula": "Mg4HIr2",
  "functional": "PBE",
  "state": "relaxed",
  "cell": [[4.984, 0.000, 0.000], [-0.732, 4.931, 0.000], [-2.487, -1.060, 4.215]],
  "species": ["Mg", "Mg", "Mg", "Mg", "H", "Ir", "Ir"],
  "fractional_positions": [[0.000, 0.000, 0.000], [0.168, 0.502, 0.798], [0.471, 0.517, 0.471], [0.675, 0.017, 0.306], [0.998, 0.757, 0.471], [0.362, 0.028, 0.663], [0.809, 0.489, 0.110]],
  "e_above_lowest_polymorph_mev_per_atom": 8,
  "m_tot_mub_per_atom": 0.0000,
  "spacegroup": "No. 1"
}

=====

[4]
{
  "formula": "CaSeN2F",
  "functional": "PBE",
  "state": "relaxed",
  "cell": [[4.696, 0.000, 0.000], [0.000, 4.696, 0.000], [0.000, 0.000, 5.863]],
  "species": ["Ca", "Se", "N", "N", "F"],
  "fractional_positions": [[0.000, 0.000, 0.000], [0.000, 0.000, 0.500], [0.000, 0.500, 0.000], [0.500, 0.000, 0.000], [0.500, 0.500, 0.500]],
  "e_above_lowest_polymorph_mev_per_atom": 1379,
  "raw_formation_energy_kj_per_mol_atoms": 120.7,
  "m_tot_mub_per_atom": 0.6141,
  "spacegroup": "No. 123"
}